The following is a PBE calculation of a relaxed structure of NaCu12Si7, from the Alexandria database.

## Properties
The value obtained for the raw formation energy is 0.0874 eV/atom.

a b c (Å): 12.3478 12.3478 6.2537
angles (deg): 90.00 90.00 120.00
Space group R-3m (No. 166, hexagonal axes)
Asymmetric unit:
Na (0.0000, 0.0000, 0.0000) (multiplicity 3)
Cu (0.0000, 0.2601, 0.0000) (multiplicity 18)
Cu (0.1097, 0.2194, 0.3112) (multiplicity 18)
Si (0.0000, 0.0000, 0.5000) (multiplicity 3)
Si (0.1002, 0.5501, 0.3701) (multiplicity 18)